This record from the Alexandria database describes MnAlRe2 after structural relaxation. The functional is PBE.

POSCAR file:
```
MnAlRe2
1.0
4.499 -1.396 0.000
4.499 1.396 0.000
-1.094 0.000 4.504
Mn Al Re
1 1 2
direct
0.000 0.000 0.000
0.500 0.500 0.500
0.257 0.257 0.758
0.743 0.743 0.242
```

## Properties
total magnetic moment	1.75	Bohr magnetons per cell
E_tot	-9.50	eV/atom
energy of formation	-0.045	eV/atom

This record from the Alexandria database describes Sr3Al8Ga3 after structural relaxation. The functional is PBE.

POSCAR file:
```
Sr3Al8Ga3
1.0
-2.249 5.303 6.521
2.249 -5.303 6.521
2.249 5.303 -6.521
Sr Al Ga
3 8 3
direct
0.000 0.000 0.000
0.319 0.319 0.000
0.681 0.681 0.000
0.035 0.662 0.372
0.124 0.855 0.270
0.290 0.662 0.628
0.415 0.145 0.270
0.585 0.855 0.730
0.710 0.338 0.372
0.876 0.145 0.730
0.965 0.338 0.628
0.282 0.500 0.782
0.500 0.000 0.500
0.718 0.500 0.218
```

## Properties
total magnetic moment	0.00	Bohr magnetons per cell
E_tot	-3.37	eV/atom
energy of formation	-0.227	eV/atom

- What is the formula in the first record?
  MnAlRe2

- What is the energy of formation in the first record?
  -0.045 eV/atom